No. 1
Here is an optimized crystal structure of InGaCl6 from Alexandria. Energies are from PBE.

Calculated values
As for the space-group type: R-3 (148). As for the electronic total energy: -3.063 eV/atom.

Lattice parameters (Å, degrees): 6.6862 6.6862 6.6862 56.05 56.05 56.05
Last column: nearest neighbours and their distance in Å.
Positions (direct):
In  0.0000  0.0000  0.0000  6 Cl 2.58
Ga  0.5000  0.5000  0.5000  6 Cl 2.41
Cl  0.1042  0.7383  0.4157  1 Ga 2.41, 1 In 2.58
Cl  0.2617  0.5843  0.8958  1 Ga 2.41, 1 In 2.58
Cl  0.4157  0.1042  0.7383  1 Ga 2.41, 1 In 2.58
Cl  0.5843  0.8958  0.2617  1 Ga 2.41, 1 In 2.58
Cl  0.7383  0.4157  0.1042  1 Ga 2.41, 1 In 2.58
Cl  0.8958  0.2617  0.5843  1 Ga 2.41, 1 In 2.58

=====

No. 2
Here is an optimized crystal structure of SnGe2Au2 from Alexandria. Energies are from PBE.

Calculated values
The formation energy is 0.7 eV per formula unit. As for the space-group type: P4/mbm (127). As for the electronic total energy: -3.818 eV/atom.

Lattice parameters (Å, degrees): 8.3575 8.3575 2.9809 90.00 90.00 90.00
Last column: nearest neighbours and their distance in Å.
Positions (direct):
Sn  0.0000  0.0000  0.0000  2 Sn 2.98, 4 Ge 3.24
Sn  0.5000  0.5000  0.0000  2 Sn 2.98, 4 Ge 3.24
Ge  0.1377  0.3623  0.0000  6 Au 2.82-2.91, 2 Ge 2.98
Ge  0.3623  0.8623  0.0000  6 Au 2.82-2.91, 2 Ge 2.98
Ge  0.6377  0.1377  0.0000  6 Au 2.82-2.91, 2 Ge 2.98
Ge  0.8623  0.6377  0.0000  6 Au 2.82-2.91, 2 Ge 2.98
Au  0.1600  0.6600  0.5000  6 Ge 2.82-2.91, 2 Au 2.98
Au  0.3400  0.1600  0.5000  6 Ge 2.82-2.91, 2 Au 2.98
Au  0.6600  0.8400  0.5000  6 Ge 2.82-2.91, 2 Au 2.98
Au  0.8400  0.3400  0.5000  6 Ge 2.82-2.91, 2 Au 2.98

=====

No. 3
Here is an optimized crystal structure of La3PmHo8 from Alexandria. Energies are from PBE.

Calculated values
The formation energy is 7.3 eV per formula unit. As for the space-group type: I-42m (121). As for the electronic total energy: -4.075 eV/atom.

Lattice parameters (Å, degrees): 8.4069 8.4069 8.4069 116.84 116.84 95.57
Last column: nearest neighbours and their distance in Å.
Positions (direct):
La  0.0000  0.0000  0.0000  8 Ho 3.14-3.24
La  0.2500  0.7500  0.5000  4 Ho 3.49
La  0.7500  0.2500  0.5000  4 Ho 3.49
Pm  0.5000  0.5000  0.0000  8 Ho 3.09-3.20
Ho  0.1282  0.1282  0.7521  3 Ho 3.09-3.24, 1 Pm 3.20, 1 La 3.24
Ho  0.2477  0.7436  0.0000  1 Pm 3.09, 1 La 3.14, 2 Ho 3.22-3.24
Ho  0.2564  0.2564  0.5041  1 Pm 3.09, 1 La 3.14, 2 Ho 3.22-3.24
Ho  0.3761  0.3761  0.2479  3 Ho 3.09-3.24, 1 Pm 3.20, 1 La 3.24
Ho  0.6239  0.8718  0.0000  3 Ho 3.09-3.24, 1 Pm 3.20, 1 La 3.24
Ho  0.7436  0.2477  0.0000  1 Pm 3.09, 1 La 3.14, 2 Ho 3.22-3.24
Ho  0.7523  0.7523  0.4959  1 Pm 3.09, 1 La 3.14, 2 Ho 3.22-3.24
Ho  0.8718  0.6239  0.0000  3 Ho 3.09-3.24, 1 Pm 3.20, 1 La 3.24

=====

No. 4
Here is an optimized crystal structure of HfScO from Alexandria. Energies are from PBE.

Calculated values
As for the space-group type: P3m1 (156). As for the electronic total energy: -8.902 eV/atom.

Lattice parameters (Å, degrees): 3.2285 3.2285 5.1707 90.00 90.00 120.00
Last column: nearest neighbours and their distance in Å.
Positions (direct):
Hf  0.0000  0.0000  0.0000  3 O 2.30
Sc  0.3333  0.6667  0.5066  3 O 2.26
O  0.6667  0.3333  0.2592  3 Sc 2.26, 3 Hf 2.30

=====

No. 5
Here is an optimized crystal structure of CaAsRh2 from Alexandria. Energies are from PBE.

Calculated values
The formation energy is -0.5 eV per formula unit. As for the space-group type: F-43m (216). As for the electronic total energy: -5.460 eV/atom.

Lattice parameters (Å, degrees): 4.6205 4.6205 4.6205 60.00 60.00 60.00
Last column: nearest neighbours and their distance in Å.
Positions (direct):
Ca  0.0000  0.0000  0.0000  4 As 2.83, 4 Rh 2.83
As  0.7500  0.7500  0.7500  4 Ca 2.83, 4 Rh 2.83
Rh  0.2500  0.2500  0.2500  4 Ca 2.83, 4 Rh 2.83
Rh  0.5000  0.5000  0.5000  4 As 2.83, 4 Rh 2.83

=====

No. 6
Here is an optimized crystal structure of TiV2Fe from Alexandria. Energies are from PBE.

Calculated values
The formation energy is 1.2 eV per formula unit. As for the space-group type: I-42d (122). As for the electronic total energy: -8.359 eV/atom.

Lattice parameters (Å, degrees): 5.3661 5.3661 5.3661 102.75 102.75 123.97
Last column: nearest neighbours and their distance in Å.
Positions (direct):
Ti  0.0000  0.0000  0.0000  2 Fe 2.52, 4 V 2.64
Ti  0.7500  0.2500  0.5000  2 Fe 2.52, 4 V 2.64
V  0.1647  0.6250  0.0397  2 Fe 2.28
V  0.3750  0.4147  0.5397  2 Fe 2.28
V  0.5853  0.1250  0.9603  2 Fe 2.28
V  0.8750  0.8353  0.4603  2 Fe 2.28
Fe  0.2500  0.7500  0.5000  4 V 2.28, 2 Ti 2.52
Fe  0.5000  0.5000  0.0000  4 V 2.28, 2 Ti 2.52

=====

> Number 3 is which compound?

La3PmHo8